(1)
The following is a GGA-PBE calculation of crystalline HfMn2Pd2 at its relaxed geometry, from Alexandria.

Lattice parameters (Å, degrees): 7.5007 7.5007 2.8803 90.00 90.00 90.00
Element x y z (fractional)
1 Hf 0.0000 0.0000 0.0000
2 Hf 0.5000 0.5000 0.0000
3 Mn 0.1375 0.3625 0.0000
4 Mn 0.3625 0.8625 0.0000
5 Mn 0.6375 0.1375 0.0000
6 Mn 0.8625 0.6375 0.0000
7 Pd 0.1596 0.6596 0.5000
8 Pd 0.3404 0.1596 0.5000
9 Pd 0.6596 0.8404 0.5000
10 Pd 0.8404 0.3404 0.5000

Summary:
Offset from the most stable computed form: 0.0 meV per atom
Fermi-level density of states: 4.22 states/eV/f.u.
SG: P4/mbm, No. 127
Energy relative to the elements: -0.6 eV/f.u.

=====

(2)
The following is a GGA-PBE calculation of crystalline BaBeHg2 at its relaxed geometry, from Alexandria.

Lattice parameters (Å, degrees): 5.7305 5.7305 5.7305 137.46 115.40 80.46
Element x y z (fractional)
1 Ba 0.0000 0.0000 0.0000
2 Be 0.5000 0.5000 0.0000
3 Hg 0.3156 0.8156 0.5000
4 Hg 0.6844 0.1844 0.5000

Summary:
Fermi-level density of states: 1.81 states/eV/f.u.
SG: Immm, No. 71
Energy relative to the elements: 0.2 eV/f.u.

=====

(3)
The following is a GGA-PBE calculation of crystalline V5Si2 at its relaxed geometry, from Alexandria.

Lattice parameters (Å, degrees): 6.9419 6.9419 6.2076 93.36 93.36 40.33
Element x y z (fractional)
1 V 0.1037 0.3541 0.2857
2 V 0.1635 0.8365 0.7500
3 V 0.2624 0.5532 0.0646
4 V 0.3541 0.1037 0.7857
5 V 0.4468 0.7376 0.4354
6 V 0.5532 0.2624 0.5646
7 V 0.6459 0.8963 0.2143
8 V 0.7376 0.4468 0.9354
9 V 0.8365 0.1635 0.2500
10 V 0.8963 0.6459 0.7143
11 Si 0.0586 0.7265 0.4278
12 Si 0.2735 0.9414 0.0722
13 Si 0.7265 0.0586 0.9278
14 Si 0.9414 0.2735 0.5722

Summary:
Uncorrected formation energy: -261 meV per atom
Fermi-level density of states: 5.65 states/eV/f.u.
SG: C2/c, No. 15

=====

(4)
The following is a GGA-PBE calculation of crystalline SnPPtO at its relaxed geometry, from Alexandria.

Lattice parameters (Å, degrees): 3.7513 4.6160 4.7367 70.73 86.38 81.27
Element x y z (fractional)
1 Sn 0.0000 0.0000 0.0000
2 P 0.4170 0.7809 0.5881
3 Pt 0.9568 0.5273 0.5115
4 O 0.3444 0.1161 0.3186

Summary:
Offset from the most stable computed form: 176.6 meV per atom
Uncorrected formation energy: -636 meV per atom
Fermi-level density of states: 1.62 states/eV/f.u.
SG: P1, No. 1

=====

(5)
The following is a GGA-PBE calculation of crystalline Cr2In2Br7 at its relaxed geometry, from Alexandria.

Lattice parameters (Å, degrees): 8.5691 8.5691 6.8261 95.70 95.70 123.11
Element x y z (fractional)
1 Cr 0.2233 0.2233 0.1250
2 Cr 0.7767 0.7767 0.8750
3 In 0.2040 0.7960 0.5000
4 In 0.7960 0.2040 0.5000
5 Br 0.0561 0.0561 0.7641
6 Br 0.1037 0.4219 0.2169
7 Br 0.4219 0.1037 0.2169
8 Br 0.5000 0.5000 0.0000
9 Br 0.5781 0.8963 0.7831
10 Br 0.8963 0.5781 0.7831
11 Br 0.9439 0.9439 0.2359

Summary:
Uncorrected formation energy: -589 meV per atom
Fermi-level density of states: 2.83 states/eV/f.u.
SG: C2/m, No. 12

=====

(6)
The following is a GGA-PBE calculation of crystalline Sc4Zn2Pd at its relaxed geometry, from Alexandria.

Lattice parameters (Å, degrees): 8.0031 8.0031 8.0031 34.00 34.00 34.00
Element x y z (fractional)
1 Sc 0.1211 0.1211 0.1211
2 Sc 0.3724 0.3724 0.3724
3 Sc 0.6276 0.6276 0.6276
4 Sc 0.8789 0.8789 0.8789
5 Zn 0.2486 0.2486 0.2486
6 Zn 0.7514 0.7514 0.7514
7 Pd 0.5000 0.5000 0.5000

Summary:
Fermi-level density of states: 7.07 states/eV/f.u.
SG: R-3m, No. 166
Energy relative to the elements: -2.3 eV/f.u.

=====

(7)
The following is a GGA-PBE calculation of crystalline Ac5LaPb6 at its relaxed geometry, from Alexandria.

Lattice parameters (Å, degrees): 9.8038 9.8038 5.4566 105.69 105.69 57.08
Element x y z (fractional)
1 Ac 0.0000 0.0000 0.0000
2 Ac 0.1678 0.1678 0.6677
3 Ac 0.3345 0.3345 0.3341
4 Ac 0.6655 0.6655 0.6659
5 Ac 0.8322 0.8322 0.3323
6 La 0.5000 0.5000 0.0000
7 Pb 0.0880 0.5846 0.8360
8 Pb 0.2528 0.7472 0.5000
9 Pb 0.4154 0.9120 0.1640
10 Pb 0.5846 0.0880 0.8360
11 Pb 0.7472 0.2528 0.5000
12 Pb 0.9120 0.4154 0.1640

Summary:
Offset from the most stable computed form: 3.4 meV per atom
Fermi-level density of states: 11.28 states/eV/f.u.
SG: C2/m, No. 12
Energy relative to the elements: -6.0 eV/f.u.

=====

(8)
The following is a GGA-PBE calculation of crystalline Tl7HgSb3 at its relaxed geometry, from Alexandria.

Lattice parameters (Å, degrees): 9.4310 9.4310 9.6878 90.00 90.00 58.50
Element x y z (fractional)
1 Tl 0.0469 0.6482 0.0706
2 Tl 0.0469 0.6482 0.4294
3 Tl 0.2045 0.7955 0.7500
4 Tl 0.3345 0.4019 0.7500
5 Tl 0.3518 0.9531 0.0706
6 Tl 0.3518 0.9531 0.4294
7 Tl 0.4019 0.3345 0.2500
8 Tl 0.5981 0.6655 0.7500
9 Tl 0.6482 0.0469 0.5706
10 Tl 0.6482 0.0469 0.9294
11 Tl 0.6655 0.5981 0.2500
12 Tl 0.7955 0.2045 0.2500
13 Tl 0.9531 0.3518 0.5706
14 Tl 0.9531 0.3518 0.9294
15 Hg 0.0000 0.0000 0.0000
16 Hg 0.0000 0.0000 0.5000
17 Sb 0.0794 0.3154 0.2500
18 Sb 0.3154 0.0794 0.7500
19 Sb 0.5000 0.5000 0.0000
20 Sb 0.5000 0.5000 0.5000
21 Sb 0.6846 0.9206 0.2500
22 Sb 0.9206 0.6846 0.7500

Summary:
Uncorrected formation energy: 38 meV per atom
Fermi-level density of states: 3.51 states/eV/f.u.
SG: Cmcm, No. 63

=====

> Among the records above, which one has the highest Fermi-level density of states?

Ac5LaPb6

=====

What did the third record say?
The following is a GGA-PBE calculation of crystalline V5Si2 at its relaxed geometry, from Alexandria.

Lattice parameters (Å, degrees): 6.9419 6.9419 6.2076 93.36 93.36 40.33
Element x y z (fractional)
1 V 0.1037 0.3541 0.2857
2 V 0.1635 0.8365 0.7500
3 V 0.2624 0.5532 0.0646
4 V 0.3541 0.1037 0.7857
5 V 0.4468 0.7376 0.4354
6 V 0.5532 0.2624 0.5646
7 V 0.6459 0.8963 0.2143
8 V 0.7376 0.4468 0.9354
9 V 0.8365 0.1635 0.2500
10 V 0.8963 0.6459 0.7143
11 Si 0.0586 0.7265 0.4278
12 Si 0.2735 0.9414 0.0722
13 Si 0.7265 0.0586 0.9278
14 Si 0.9414 0.2735 0.5722

Summary:
Uncorrected formation energy: -261 meV per atom
Fermi-level density of states: 5.65 states/eV/f.u.
SG: C2/c, No. 15

=====

> Fermi-level density of states of number 3 (V5Si2)?

5.65 states/eV/f.u.